Below is a relaxed AlIn4Te crystal, with properties calculated at the GGA-PBE level.

a = 8.8342 Å, b = 8.8342 Å, c = 8.8342 Å
α = 90.00°, β = 90.00°, γ = 90.00°
Space group F-43m (No. 216)
Symmetry-distinct sites (fractional):
Al 0.0000 0.0000 0.0000 (multiplicity 4)
In 0.1252 0.1252 0.6252 (multiplicity 16)
Te 0.2500 0.2500 0.2500 (multiplicity 4)

Properties
Uncorrected formation energy: 231 meV/atom
Energy: -2.7418 eV/atom
Fermi-level density of states: 3.47 states/eV/f.u.
Total moment: 0.000 μB/atom